# Ce3ZnPt6 | Alexandria | PBE | optimized geometry
# Calculated total energy, eV/atom: -6.1191
# ΔE_f, eV/atom: -0.59
data_Ce3ZnPt6
_cell_length_a 6.8883
_cell_length_b 6.8883
_cell_length_c 6.8883
_cell_angle_alpha 112.99
_cell_angle_beta 112.99
_cell_angle_gamma 112.99
_space_group_name_H-M_alt 'P 1'
_space_group_IT_number 1
_space_group_name_Hall 'P 1'
loop_
_atom_site_label
_atom_site_fract_x
_atom_site_fract_y
_atom_site_fract_z
Ce1 0.2136 0.2136 0.5727
Ce2 0.2136 0.5728 0.2136
Ce3 0.5727 0.2136 0.2136
Zn1 0.6054 0.6054 0.6054
Pt1 0.0317 0.0317 0.7835
Pt2 0.0317 0.7835 0.0317
Pt3 0.1719 0.6519 0.6519
Pt4 0.6519 0.1719 0.6519
Pt5 0.6519 0.6519 0.1719
Pt6 0.7835 0.0317 0.0317

# Zr2Al2Pb | Alexandria | PBE | optimized geometry
# Calculated total energy, eV/atom: -5.8543
# Excess energy over the best structure of this formula in the dataset, meV per atom: 0
# ΔE_f, eV/atom: -0.20
data_Zr2Al2Pb
_cell_length_a 7.2567
_cell_length_b 7.2567
_cell_length_c 3.9831
_cell_angle_alpha 90.00
_cell_angle_beta 90.00
_cell_angle_gamma 90.00
_space_group_name_H-M_alt 'P 1'
_space_group_IT_number 1
_space_group_name_Hall 'P 1'
loop_
_atom_site_label
_atom_site_fract_x
_atom_site_fract_y
_atom_site_fract_z
Zr1 0.1775 0.3225 0.0000
Zr2 0.3225 0.8225 0.0000
Zr3 0.6775 0.1775 0.0000
Zr4 0.8225 0.6775 0.0000
Al1 0.1207 0.6207 0.5000
Al2 0.3793 0.1207 0.5000
Al3 0.6207 0.8793 0.5000
Al4 0.8793 0.3793 0.5000
Pb1 0.0000 0.0000 0.5000
Pb2 0.5000 0.5000 0.5000